No. 1
Here is crystalline GdHoTlGa at its relaxed geometry from Alexandria. Energies are from PBE.

The value obtained for the energy of formation from the pure elements is -167 kJ/mol of formula units. The value obtained for the total DFT energy (no corrections) is -6.45 eV/atom. Its density of states at the Fermi level is 10.14 states/eV per cell.

The space group is F-43m (No. 216) and the conventional cell measures 7.411, 7.411 and 7.411 Å, with angles of 90.00, 90.00 and 90.00 degrees. The inequivalent atoms are Gd at (0.000, 0.000, 0.000), Ho at (0.000, 0.000, 0.500), Tl at (0.250, 0.250, 0.750) and Ga at (0.250, 0.250, 0.250).

***

No. 2
Here is crystalline GdHoZnGa at its relaxed geometry from Alexandria. Energies are from PBE.

The value obtained for the energy of formation from the pure elements is -185 kJ/mol of formula units. The value obtained for the total DFT energy (no corrections) is -6.22 eV/atom. Its density of states at the Fermi level is 12.75 states/eV per cell.

The space group is F-43m (No. 216) and the conventional cell measures 7.168, 7.168 and 7.168 Å, with angles of 90.00, 90.00 and 90.00 degrees. The inequivalent atoms are Gd at (0.000, 0.000, 0.000), Ho at (0.000, 0.000, 0.500), Zn at (0.250, 0.250, 0.250) and Ga at (0.250, 0.250, 0.750).

***

No. 3
Here is crystalline GdIn2Ga at its relaxed geometry from Alexandria. Energies are from PBE.

The value obtained for the energy of formation from the pure elements is 47 kJ/mol of formula units. The value obtained for the total DFT energy (no corrections) is -5.53 eV/atom. Its density of states at the Fermi level is 10.69 states/eV per cell.

The space group is R-3m (No. 166, hexagonal axes) and the conventional cell measures 3.4057, 3.4057 and 32.8482 Å, with angles of 90.00, 90.00 and 120.00 degrees. The inequivalent atoms are Gd at (0.0000, 0.0000, 0.0000), In at (0.0000, 0.0000, 0.0963) and Ga at (0.0000, 0.0000, 0.5000).

***

No. 4
Here is crystalline GdIn2Ga at its relaxed geometry from Alexandria. Energies are from PBE.

The value obtained for the energy of formation from the pure elements is -172 kJ/mol of formula units. The value obtained for the total DFT energy (no corrections) is -6.09 eV/atom. Its density of states at the Fermi level is 1.55 states/eV per cell.

The space group is P4/mmm (No. 123) and the conventional cell measures 4.495, 4.495 and 4.683 Å, with angles of 90.00, 90.00 and 90.00 degrees. The inequivalent atoms are Gd at (0.000, 0.000, 0.000), In at (0.000, 0.500, 0.500) and Ga at (0.500, 0.500, 0.000).

***

No. 5
Here is crystalline GdInGa2 at its relaxed geometry from Alexandria. Energies are from PBE.

The value obtained for the energy of formation from the pure elements is -115 kJ/mol of formula units. The value obtained for the total DFT energy (no corrections) is -6.02 eV/atom. Its density of states at the Fermi level is 10.20 states/eV per cell.

The space group is Fm-3m (No. 225) and the conventional cell measures 7.113, 7.113 and 7.113 Å, with angles of 90.00, 90.00 and 90.00 degrees. The inequivalent atoms are Gd at (0.000, 0.000, 0.000), In at (0.000, 0.000, 0.500) and Ga at (0.250, 0.250, 0.250).

***

No. 6
Here is crystalline GdInGa2 at its relaxed geometry from Alexandria. Energies are from PBE.

The value obtained for the energy of formation from the pure elements is -183 kJ/mol of formula units. The value obtained for the total DFT energy (no corrections) is -6.19 eV/atom. Its density of states at the Fermi level is 1.92 states/eV per cell.

The space group is P4/mmm (No. 123) and the conventional cell measures 4.505, 4.505 and 4.294 Å, with angles of 90.00, 90.00 and 90.00 degrees. The inequivalent atoms are Gd at (0.000, 0.000, 0.000), In at (0.500, 0.500, 0.000) and Ga at (0.000, 0.500, 0.500).

***

No. 7
Here is crystalline GdMgInGa at its relaxed geometry from Alexandria. Energies are from PBE.

The value obtained for the energy of formation from the pure elements is -132 kJ/mol of formula units. The value obtained for the total DFT energy (no corrections) is -5.70 eV/atom. Its density of states at the Fermi level is 11.17 states/eV per cell.

The space group is F-43m (No. 216) and the conventional cell measures 7.204, 7.204 and 7.204 Å, with angles of 90.00, 90.00 and 90.00 degrees. The inequivalent atoms are Gd at (0.000, 0.000, 0.000), Mg at (0.000, 0.000, 0.500), In at (0.250, 0.250, 0.250) and Ga at (0.250, 0.250, 0.750).

***

No. 8
Here is crystalline PmGdInGa at its relaxed geometry from Alexandria. Energies are from PBE.

The value obtained for the energy of formation from the pure elements is -196 kJ/mol of formula units. The value obtained for the total DFT energy (no corrections) is -6.66 eV/atom. Its density of states at the Fermi level is 9.94 states/eV per cell.

The space group is F-43m (No. 216) and the conventional cell measures 7.475, 7.475 and 7.475 Å, with angles of 90.00, 90.00 and 90.00 degrees. The inequivalent atoms are Pm at (0.000, 0.000, 0.000), Gd at (0.000, 0.000, 0.500), In at (0.250, 0.250, 0.750) and Ga at (0.250, 0.250, 0.250).

***

No. 9
Here is crystalline PrGdInGa at its relaxed geometry from Alexandria. Energies are from PBE.

The value obtained for the energy of formation from the pure elements is -192 kJ/mol of formula units. The value obtained for the total DFT energy (no corrections) is -6.65 eV/atom. Its density of states at the Fermi level is 10.38 states/eV per cell.

The space group is F-43m (No. 216) and the conventional cell measures 7.534, 7.534 and 7.534 Å, with angles of 90.00, 90.00 and 90.00 degrees. The inequivalent atoms are Pr at (0.000, 0.000, 0.000), Gd at (0.000, 0.000, 0.500), In at (0.250, 0.250, 0.250) and Ga at (0.250, 0.250, 0.750).

***

No. 10
Here is crystalline GdInGaPt at its relaxed geometry from Alexandria. Energies are from PBE.

The value obtained for the energy of formation from the pure elements is -256 kJ/mol of formula units. The value obtained for the total DFT energy (no corrections) is -7.13 eV/atom. Its density of states at the Fermi level is 12.40 states/eV per cell.

The space group is F-43m (No. 216) and the conventional cell measures 6.918, 6.918 and 6.918 Å, with angles of 90.00, 90.00 and 90.00 degrees. The inequivalent atoms are Gd at (0.000, 0.000, 0.000), In at (0.000, 0.000, 0.500), Ga at (0.250, 0.250, 0.250) and Pt at (0.250, 0.250, 0.750).

***

No. 11
Here is crystalline GdPuInGa at its relaxed geometry from Alexandria. Energies are from PBE.

The value obtained for the energy of formation from the pure elements is -117 kJ/mol of formula units. The value obtained for the total DFT energy (no corrections) is -8.85 eV/atom. Its density of states at the Fermi level is 32.60 states/eV per cell.

The space group is F-43m (No. 216) and the conventional cell measures 7.427, 7.427 and 7.427 Å, with angles of 90.00, 90.00 and 90.00 degrees. The inequivalent atoms are Gd at (0.000, 0.000, 0.000), Pu at (0.000, 0.000, 0.500), In at (0.250, 0.250, 0.750) and Ga at (0.250, 0.250, 0.250).

***

No. 12
Here is crystalline GdInGaRh at its relaxed geometry from Alexandria. Energies are from PBE.

The value obtained for the energy of formation from the pure elements is -188 kJ/mol of formula units. The value obtained for the total DFT energy (no corrections) is -7.29 eV/atom. Its density of states at the Fermi level is 5.97 states/eV per cell.

The space group is F-43m (No. 216) and the conventional cell measures 6.834, 6.834 and 6.834 Å, with angles of 90.00, 90.00 and 90.00 degrees. The inequivalent atoms are Gd at (0.000, 0.000, 0.000), In at (0.000, 0.000, 0.500), Ga at (0.250, 0.250, 0.750) and Rh at (0.250, 0.250, 0.250).

***

No. 13
Here is crystalline GdScInGa at its relaxed geometry from Alexandria. Energies are from PBE.

The value obtained for the energy of formation from the pure elements is -184 kJ/mol of formula units. The value obtained for the total DFT energy (no corrections) is -7.02 eV/atom. Its density of states at the Fermi level is 8.81 states/eV per cell.

The space group is F-43m (No. 216) and the conventional cell measures 7.191, 7.191 and 7.191 Å, with angles of 90.00, 90.00 and 90.00 degrees. The inequivalent atoms are Gd at (0.000, 0.000, 0.000), Sc at (0.000, 0.000, 0.500), In at (0.250, 0.250, 0.750) and Ga at (0.250, 0.250, 0.250).

***

No. 14
Here is crystalline TbGdInGa at its relaxed geometry from Alexandria. Energies are from PBE.

The value obtained for the energy of formation from the pure elements is -196 kJ/mol of formula units. The value obtained for the total DFT energy (no corrections) is -6.63 eV/atom. Its density of states at the Fermi level is 8.87 states/eV per cell.

The space group is F-43m (No. 216) and the conventional cell measures 7.396, 7.396 and 7.396 Å, with angles of 90.00, 90.00 and 90.00 degrees. The inequivalent atoms are Tb at (0.000, 0.000, 0.000), Gd at (0.000, 0.000, 0.500), In at (0.250, 0.250, 0.750) and Ga at (0.250, 0.250, 0.250).